Computed, not measured: an optimized crystal structure of MnPbSeF2 at the PBE with a Hubbard U level of DFT.

```
MnPbSeF2
1.0
4.273 0.000 0.000
0.000 4.273 0.000
0.000 0.000 5.478
Pb Mn Se F
1 1 1 2
Direct
0.500 0.500 0.500
0.000 0.000 0.000
0.000 0.000 0.500
0.000 0.500 0.000
0.500 0.000 0.000
```

The final energy comes out at -5.35 eV per atom.